! PBE-GGA PmY2Zn6, relaxed; values from VASP
&SYSTEM
  ibrav = 0, nat = 9, ntyp = 3
/
ATOMIC_SPECIES
Pm 145.00 Pm.upf
Y 88.91 Y.upf
Zn 65.41 Zn.upf
CELL_PARAMETERS angstrom
7.789 0.000 0.000
-3.894 6.745 0.000
0.000 0.000 3.563
ATOMIC_POSITIONS crystal
Pm 0.000 0.000 0.000
Y 0.333 0.667 0.000
Y 0.667 0.333 0.000
Zn 0.000 0.336 0.500
Zn 0.000 0.664 0.500
Zn 0.336 0.000 0.500
Zn 0.336 0.336 0.500
Zn 0.664 0.000 0.500
Zn 0.664 0.664 0.500
! Energy relative to the elements   -382 meV/atom
! Electronic total energy   -3.196 eV per atom

! PBE-GGA PmY6Zn2, relaxed; values from VASP
&SYSTEM
  ibrav = 0, nat = 9, ntyp = 3
/
ATOMIC_SPECIES
Pm 145.00 Pm.upf
Y 88.91 Y.upf
Zn 65.41 Zn.upf
CELL_PARAMETERS angstrom
6.282 -1.823 0.000
6.282 1.823 0.000
-3.856 0.000 11.235
ATOMIC_POSITIONS crystal
Pm 0.000 0.000 0.000
Y 0.025 0.025 0.330
Y 0.310 0.310 0.126
Y 0.314 0.314 0.412
Y 0.686 0.686 0.588
Y 0.690 0.690 0.874
Y 0.975 0.975 0.670
Zn 0.349 0.349 0.791
Zn 0.651 0.651 0.209
! Energy relative to the elements   -144 meV/atom
! Electronic total energy   -5.264 eV per atom

! PBE-GGA PmYZn3, relaxed; values from VASP
&SYSTEM
  ibrav = 0, nat = 10, ntyp = 3
/
ATOMIC_SPECIES
Pm 145.00 Pm.upf
Y 88.91 Y.upf
Zn 65.41 Zn.upf
CELL_PARAMETERS angstrom
1.846 -13.514 0.000
1.846 13.514 0.000
0.000 0.000 4.507
ATOMIC_POSITIONS crystal
Pm 0.074 0.926 0.750
Pm 0.926 0.074 0.250
Y 0.209 0.791 0.250
Y 0.791 0.209 0.750
Zn 0.326 0.674 0.250
Zn 0.380 0.620 0.750
Zn 0.476 0.524 0.750
Zn 0.524 0.476 0.250
Zn 0.620 0.380 0.250
Zn 0.674 0.326 0.750
! Energy relative to the elements   -336 meV/atom
! Electronic total energy   -3.343 eV per atom

! PBE-GGA Pm2YZn, relaxed; values from VASP
&SYSTEM
  ibrav = 0, nat = 4, ntyp = 3
/
ATOMIC_SPECIES
Pm 145.00 Pm.upf
Y 88.91 Y.upf
Zn 65.41 Zn.upf
CELL_PARAMETERS angstrom
1.756 1.014 12.041
-1.756 1.014 12.041
0.000 -2.028 12.041
ATOMIC_POSITIONS crystal
Pm 0.087 0.087 0.087
Pm 0.913 0.913 0.913
Y 0.500 0.500 0.500
Zn 0.000 0.000 0.000
! Energy relative to the elements   250 meV/atom
! Electronic total energy   -4.060 eV per atom

! PBE-GGA Pm2Y6Zn, relaxed; values from VASP
&SYSTEM
  ibrav = 0, nat = 18, ntyp = 3
/
ATOMIC_SPECIES
Pm 145.00 Pm.upf
Y 88.91 Y.upf
Zn 65.41 Zn.upf
CELL_PARAMETERS angstrom
9.832 0.000 0.000
0.000 10.296 0.000
0.000 0.000 5.446
ATOMIC_POSITIONS crystal
Pm 0.190 0.247 0.000
Pm 0.310 0.747 0.500
Pm 0.690 0.253 0.500
Pm 0.810 0.753 0.000
Y 0.016 0.313 0.500
Y 0.134 0.897 0.000
Y 0.190 0.571 0.000
Y 0.310 0.071 0.500
Y 0.366 0.397 0.500
Y 0.484 0.813 0.000
Y 0.516 0.187 0.000
Y 0.634 0.603 0.500
Y 0.690 0.929 0.500
Y 0.810 0.429 0.000
Y 0.866 0.103 0.000
Y 0.984 0.687 0.500
Zn 0.000 0.000 0.500
Zn 0.500 0.500 0.000
! Energy relative to the elements   19 meV/atom
! Electronic total energy   -5.488 eV per atom

! PBE-GGA PmY14Zr, relaxed; values from VASP
&SYSTEM
  ibrav = 0, nat = 16, ntyp = 3
/
ATOMIC_SPECIES
Pm 145.00 Pm.upf
Y 88.91 Y.upf
Zr 91.22 Zr.upf
CELL_PARAMETERS angstrom
7.115 0.000 0.000
0.000 7.115 0.000
0.000 0.000 9.986
ATOMIC_POSITIONS crystal
Pm 0.000 0.000 0.000
Y 0.000 0.000 0.500
Y 0.000 0.500 0.000
Y 0.000 0.500 0.500
Y 0.256 0.256 0.244
Y 0.256 0.256 0.756
Y 0.256 0.744 0.244
Y 0.256 0.744 0.756
Y 0.500 0.000 0.000
Y 0.500 0.000 0.500
Y 0.500 0.500 0.500
Y 0.744 0.256 0.244
Y 0.744 0.256 0.756
Y 0.744 0.744 0.244
Y 0.744 0.744 0.756
Zr 0.500 0.500 0.000
! Energy relative to the elements   43 meV/atom
! Electronic total energy   -6.444 eV per atom

! PBE-GGA Pm2YZr, relaxed; values from VASP
&SYSTEM
  ibrav = 0, nat = 4, ntyp = 3
/
ATOMIC_SPECIES
Pm 145.00 Pm.upf
Y 88.91 Y.upf
Zr 91.22 Zr.upf
CELL_PARAMETERS angstrom
0.000 3.928 3.928
3.928 0.000 3.928
3.928 3.928 0.000
ATOMIC_POSITIONS crystal
Pm 0.250 0.250 0.250
Pm 0.750 0.750 0.750
Y 0.000 0.000 0.000
Zr 0.500 0.500 0.500
! Energy relative to the elements   218 meV/atom
! Electronic total energy   -5.910 eV per atom

! PBE-GGA PmYZr, relaxed; values from VASP
&SYSTEM
  ibrav = 0, nat = 3, ntyp = 3
/
ATOMIC_SPECIES
Pm 145.00 Pm.upf
Y 88.91 Y.upf
Zr 91.22 Zr.upf
CELL_PARAMETERS angstrom
-1.712 1.712 7.507
1.712 -1.712 7.507
1.712 1.712 -7.507
ATOMIC_POSITIONS crystal
Pm 0.000 0.000 0.000
Y 0.689 0.689 0.000
Zr 0.342 0.342 0.000
! Energy relative to the elements   102 meV/atom
! Electronic total energy   -6.485 eV per atom

! PBE-GGA PmYZr, relaxed; values from VASP
&SYSTEM
  ibrav = 0, nat = 6, ntyp = 3
/
ATOMIC_SPECIES
Pm 145.00 Pm.upf
Y 88.91 Y.upf
Zr 91.22 Zr.upf
CELL_PARAMETERS angstrom
3.015 -1.740 0.000
3.015 1.740 0.000
-2.017 0.000 16.827
ATOMIC_POSITIONS crystal
Pm 0.000 0.000 0.000
Pm 0.217 0.217 0.645
Y 0.489 0.489 0.465
Y 0.608 0.608 0.821
Zr 0.102 0.102 0.306
Zr 0.387 0.387 0.163
! Energy relative to the elements   89 meV/atom
! Electronic total energy   -6.498 eV per atom

! PBE-GGA PmYZr, relaxed; values from VASP
&SYSTEM
  ibrav = 0, nat = 6, ntyp = 3
/
ATOMIC_SPECIES
Pm 145.00 Pm.upf
Y 88.91 Y.upf
Zr 91.22 Zr.upf
CELL_PARAMETERS angstrom
3.398 0.000 0.000
0.000 4.922 0.000
-1.693 0.000 10.430
ATOMIC_POSITIONS crystal
Pm 0.049 0.250 0.098
Pm 0.951 0.750 0.902
Y 0.367 0.250 0.732
Y 0.633 0.750 0.268
Zr 0.214 0.250 0.429
Zr 0.786 0.750 0.571
! Energy relative to the elements   142 meV/atom
! Electronic total energy   -6.446 eV per atom

! PBE-GGA Pm14YZr, relaxed; values from VASP
&SYSTEM
  ibrav = 0, nat = 16, ntyp = 3
/
ATOMIC_SPECIES
Pm 145.00 Pm.upf
Y 88.91 Y.upf
Zr 91.22 Zr.upf
CELL_PARAMETERS angstrom
7.236 0.000 0.000
0.000 7.236 0.000
0.000 0.000 10.197
ATOMIC_POSITIONS crystal
Pm 0.000 0.000 0.000
Pm 0.000 0.500 0.000
Pm 0.000 0.500 0.500
Pm 0.245 0.245 0.257
Pm 0.245 0.245 0.743
Pm 0.245 0.755 0.257
Pm 0.245 0.755 0.743
Pm 0.500 0.000 0.000
Pm 0.500 0.000 0.500
Pm 0.500 0.500 0.000
Pm 0.755 0.245 0.257
Pm 0.755 0.245 0.743
Pm 0.755 0.755 0.257
Pm 0.755 0.755 0.743
Y 0.500 0.500 0.500
Zr 0.000 0.000 0.500
! Energy relative to the elements   45 meV/atom
! Electronic total energy   -5.050 eV per atom

! PBE-GGA Pm2YZr, relaxed; values from VASP
&SYSTEM
  ibrav = 0, nat = 4, ntyp = 3
/
ATOMIC_SPECIES
Pm 145.00 Pm.upf
Y 88.91 Y.upf
Zr 91.22 Zr.upf
CELL_PARAMETERS angstrom
4.066 0.000 0.000
0.000 4.066 0.000
0.000 0.000 7.348
ATOMIC_POSITIONS crystal
Pm 0.000 0.000 0.224
Pm 0.000 0.000 0.776
Y 0.500 0.500 0.500
Zr 0.500 0.500 0.000
! Energy relative to the elements   167 meV/atom
! Electronic total energy   -5.961 eV per atom

! PBE-GGA Pm2YZr, relaxed; values from VASP
&SYSTEM
  ibrav = 0, nat = 4, ntyp = 3
/
ATOMIC_SPECIES
Pm 145.00 Pm.upf
Y 88.91 Y.upf
Zr 91.22 Zr.upf
CELL_PARAMETERS angstrom
1.707 0.985 12.141
-1.707 0.985 12.141
0.000 -1.971 12.141
ATOMIC_POSITIONS crystal
Pm 0.085 0.085 0.085
Pm 0.915 0.915 0.915
Y 0.500 0.500 0.500
Zr 0.000 0.000 0.000
! Energy relative to the elements   315 meV/atom
! Electronic total energy   -5.814 eV per atom

! PBE-GGA PmYZr, relaxed; values from VASP
&SYSTEM
  ibrav = 0, nat = 3, ntyp = 3
/
ATOMIC_SPECIES
Pm 145.00 Pm.upf
Y 88.91 Y.upf
Zr 91.22 Zr.upf
CELL_PARAMETERS angstrom
5.422 0.000 0.000
-2.711 4.696 0.000
0.000 0.000 3.421
ATOMIC_POSITIONS crystal
Pm 0.000 0.000 0.000
Y 0.667 0.333 0.500
Zr 0.333 0.667 0.000
! Energy relative to the elements   143 meV/atom
! Electronic total energy   -6.445 eV per atom

! PBE-GGA Pm2YZr, relaxed; values from VASP
&SYSTEM
  ibrav = 0, nat = 4, ntyp = 3
/
ATOMIC_SPECIES
Pm 145.00 Pm.upf
Y 88.91 Y.upf
Zr 91.22 Zr.upf
CELL_PARAMETERS angstrom
4.959 0.000 0.000
0.000 4.959 0.000
0.000 0.000 4.909
ATOMIC_POSITIONS crystal
Pm 0.000 0.500 0.000
Pm 0.500 0.000 0.000
Y 0.000 0.000 0.500
Zr 0.500 0.500 0.500
! Energy relative to the elements   122 meV/atom
! Electronic total energy   -6.007 eV per atom

! PBE-GGA Pm4Y6Zr, relaxed; values from VASP
&SYSTEM
  ibrav = 0, nat = 22, ntyp = 3
/
ATOMIC_SPECIES
Pm 145.00 Pm.upf
Y 88.91 Y.upf
Zr 91.22 Zr.upf
CELL_PARAMETERS angstrom
8.768 0.000 0.000
0.000 8.768 0.000
0.000 0.000 9.155
ATOMIC_POSITIONS crystal
Pm 0.143 0.357 0.250
Pm 0.143 0.357 0.750
Pm 0.357 0.857 0.250
Pm 0.357 0.857 0.750
Pm 0.643 0.143 0.250
Pm 0.643 0.143 0.750
Pm 0.857 0.643 0.250
Pm 0.857 0.643 0.750
Y 0.000 0.000 0.177
Y 0.000 0.000 0.823
Y 0.153 0.660 0.500
Y 0.160 0.653 0.000
Y 0.340 0.153 0.500
Y 0.347 0.160 0.000
Y 0.500 0.500 0.323
Y 0.500 0.500 0.677
Y 0.653 0.840 0.000
Y 0.660 0.847 0.500
Y 0.840 0.347 0.000
Y 0.847 0.340 0.500
Zr 0.000 0.000 0.500
Zr 0.500 0.500 0.000
! Energy relative to the elements   138 meV/atom
! Electronic total energy   -5.892 eV per atom

! PBE-GGA Pm2YZr, relaxed; values from VASP
&SYSTEM
  ibrav = 0, nat = 4, ntyp = 3
/
ATOMIC_SPECIES
Pm 145.00 Pm.upf
Y 88.91 Y.upf
Zr 91.22 Zr.upf
CELL_PARAMETERS angstrom
1.753 1.012 11.412
-1.753 1.012 11.412
0.000 -2.024 11.412
ATOMIC_POSITIONS crystal
Pm 0.000 0.000 0.000
Pm 0.176 0.176 0.176
Y 0.421 0.421 0.421
Zr 0.589 0.589 0.589
! Energy relative to the elements   118 meV/atom
! Electronic total energy   -6.011 eV per atom

! PBE-GGA Pm12Y7Zr, relaxed; values from VASP
&SYSTEM
  ibrav = 0, nat = 20, ntyp = 3
/
ATOMIC_SPECIES
Pm 145.00 Pm.upf
Y 88.91 Y.upf
Zr 91.22 Zr.upf
CELL_PARAMETERS angstrom
-5.794 5.794 5.794
5.794 -5.794 5.794
5.794 5.794 -5.794
ATOMIC_POSITIONS crystal
Pm 0.000 0.219 0.781
Pm 0.000 0.781 0.219
Pm 0.219 0.000 0.781
Pm 0.219 0.219 0.438
Pm 0.219 0.438 0.219
Pm 0.219 0.781 0.000
Pm 0.438 0.219 0.219
Pm 0.562 0.781 0.781
Pm 0.781 0.000 0.219
Pm 0.781 0.219 0.000
Pm 0.781 0.562 0.781
Pm 0.781 0.781 0.562
Y 0.000 0.000 0.500
Y 0.000 0.500 0.000
Y 0.000 0.500 0.500
Y 0.500 0.000 0.000
Y 0.500 0.000 0.500
Y 0.500 0.500 0.000
Y 0.500 0.500 0.500
Zr 0.000 0.000 0.000
! Energy relative to the elements   750 meV/atom
! Electronic total energy   -4.790 eV per atom

! PBE-GGA YbPm6, relaxed; values from VASP
&SYSTEM
  ibrav = 0, nat = 7, ntyp = 2
/
ATOMIC_SPECIES
Yb 173.04 Yb.upf
Pm 145.00 Pm.upf
CELL_PARAMETERS angstrom
-4.118 4.118 4.118
4.118 -4.118 4.118
4.118 4.118 -4.118
ATOMIC_POSITIONS crystal
Yb 0.000 0.000 0.000
Pm 0.250 0.500 0.750
Pm 0.250 0.750 0.500
Pm 0.500 0.250 0.750
Pm 0.500 0.750 0.250
Pm 0.750 0.250 0.500
Pm 0.750 0.500 0.250
! Energy relative to the elements   1184 meV/atom
! Electronic total energy   -3.106 eV per atom

! PBE-GGA YbPmZn2, relaxed; values from VASP
&SYSTEM
  ibrav = 0, nat = 4, ntyp = 3
/
ATOMIC_SPECIES
Yb 173.04 Yb.upf
Pm 145.00 Pm.upf
Zn 65.41 Zn.upf
CELL_PARAMETERS angstrom
0.000 3.629 3.629
3.629 0.000 3.629
3.629 3.629 0.000
ATOMIC_POSITIONS crystal
Yb 0.000 0.000 0.000
Pm 0.500 0.500 0.500
Zn 0.250 0.250 0.250
Zn 0.750 0.750 0.750
! Energy relative to the elements   -350 meV/atom
! Electronic total energy   -2.556 eV per atom

! PBE-GGA Pm3Zn11, relaxed; values from VASP
&SYSTEM
  ibrav = 0, nat = 14, ntyp = 2
/
ATOMIC_SPECIES
Pm 145.00 Pm.upf
Zn 65.41 Zn.upf
CELL_PARAMETERS angstrom
-2.236 4.436 6.612
2.236 -4.436 6.612
2.236 4.436 -6.612
ATOMIC_POSITIONS crystal
Pm 0.000 0.000 0.000
Pm 0.295 0.295 0.000
Pm 0.705 0.705 0.000
Zn 0.016 0.657 0.359
Zn 0.141 0.860 0.281
Zn 0.298 0.657 0.641
Zn 0.317 0.500 0.817
Zn 0.421 0.140 0.281
Zn 0.500 0.000 0.500
Zn 0.579 0.860 0.719
Zn 0.683 0.500 0.183
Zn 0.702 0.343 0.359
Zn 0.859 0.140 0.719
Zn 0.984 0.343 0.641
! Energy relative to the elements   -329 meV/atom
! Electronic total energy   -2.348 eV per atom

! PBE-GGA Pm3Zn, relaxed; values from VASP
&SYSTEM
  ibrav = 0, nat = 4, ntyp = 2
/
ATOMIC_SPECIES
Pm 145.00 Pm.upf
Zn 65.41 Zn.upf
CELL_PARAMETERS angstrom
4.850 0.000 0.000
0.000 4.850 0.000
0.000 0.000 4.850
ATOMIC_POSITIONS crystal
Pm 0.000 0.000 0.500
Pm 0.000 0.500 0.000
Pm 0.500 0.000 0.000
Zn 0.500 0.500 0.500
! Energy relative to the elements   -37 meV/atom
! Electronic total energy   -3.918 eV per atom

! PBE-GGA PmZn13, relaxed; values from VASP
&SYSTEM
  ibrav = 0, nat = 28, ntyp = 2
/
ATOMIC_SPECIES
Pm 145.00 Pm.upf
Zn 65.41 Zn.upf
CELL_PARAMETERS angstrom
0.000 6.081 6.081
6.081 0.000 6.081
6.081 6.081 0.000
ATOMIC_POSITIONS crystal
Pm 0.250 0.250 0.250
Pm 0.750 0.750 0.750
Zn 0.000 0.000 0.000
Zn 0.058 0.301 0.699
Zn 0.058 0.699 0.942
Zn 0.058 0.942 0.301
Zn 0.199 0.442 0.801
Zn 0.199 0.558 0.442
Zn 0.199 0.801 0.558
Zn 0.301 0.058 0.942
Zn 0.301 0.699 0.058
Zn 0.301 0.942 0.699
Zn 0.442 0.199 0.558
Zn 0.442 0.558 0.801
Zn 0.442 0.801 0.199
Zn 0.500 0.500 0.500
Zn 0.558 0.199 0.801
Zn 0.558 0.442 0.199
Zn 0.558 0.801 0.442
Zn 0.699 0.058 0.301
Zn 0.699 0.301 0.942
Zn 0.699 0.942 0.058
Zn 0.801 0.199 0.442
Zn 0.801 0.442 0.558
Zn 0.801 0.558 0.199
Zn 0.942 0.058 0.699
Zn 0.942 0.301 0.058
Zn 0.942 0.699 0.301
! Energy relative to the elements   -159 meV/atom
! Electronic total energy   -1.681 eV per atom